(1)
VASP calculation (GGA-PBE) on a relaxed structure of Pm3Sn2Cl2.

Structure (POSCAR):
```
Pm3Sn2Cl2
1.0
3.6454 -0.0025 0.0048
-1.8120 6.9866 -0.0169
0.0037 -1.0649 7.7395
Cl Pm Sn
2 3 2
direct
0.3529 0.7067 0.0855 Cl
0.6471 0.2933 0.9145 Cl
0.0000 0.0000 0.0000 Pm
0.7383 0.4779 0.2785 Pm
0.2617 0.5221 0.7215 Pm
0.9211 0.8380 0.5930 Sn
0.0789 0.1620 0.4070 Sn
```

Calculated values
- energy relative to the elements, uncorrected (eV/atom) = -1.05
- crystal system = triclinic
- Fermi-level density of states (states/eV/cell) = 3.23
- spin magnetization (Bohr magnetons per cell) = 0.000

(2)
VASP calculation (GGA-PBE) on a relaxed structure of Nd2YCu2.

Structure (POSCAR):
```
Nd2YCu2
1.0
4.4918 0.0000 0.0000
0.0000 5.4960 -0.7281
0.0000 -2.9305 11.2041
Nd Cu Y
4 4 2
direct
0.7500 0.7055 0.4536 Nd
0.2500 0.2945 0.5464 Nd
0.7500 0.2219 0.1216 Nd
0.2500 0.7781 0.8784 Nd
0.2500 0.8804 0.6448 Cu
0.7500 0.1196 0.3552 Cu
0.2500 0.3619 0.9744 Cu
0.7500 0.6381 0.0256 Cu
0.7500 0.1953 0.7880 Y
0.2500 0.8047 0.2120 Y
```

Calculated values
- formation enthalpy at 0 K (eV/f.u.) = -0.3
- crystal system = monoclinic
- Fermi-level density of states (states/eV/cell) = 11.74
- spin magnetization (Bohr magnetons per cell) = 0.000

(3)
VASP calculation (GGA-PBE) on a relaxed structure of In2TeBr.

Structure (POSCAR):
```
In2TeBr
1.0
-4.3797 2.5022 -5.8579
-0.7037 -2.2643 -7.3576
0.3050 -2.1033 7.4324
Te In Br
1 2 1
direct
0.5000 0.5000 0.0000 Te
0.0000 0.0000 0.0000 In
0.2500 0.7500 0.5000 In
0.7500 0.2500 0.5000 Br
```

Calculated values
- energy relative to the elements, uncorrected (eV/atom) = -0.30
- distance to the lowest polymorph of the same formula (eV per formula unit) = 0.47
- crystal system = tetragonal
- Fermi-level density of states (states/eV/cell) = 0.40
- spin magnetization (Bohr magnetons per cell) = 0.000

Question: What is the formula in the first record?
Answer: Pm3Sn2Cl2